No. 1
Density functional theory data (PBE) for a geometry-optimized ThGa3Au3 structure.

a = 8.1924 Å, b = 8.1924 Å, c = 7.3095 Å
α = 55.92°, β = 55.92°, γ = 60.00°
Sites, in units of the cell vectors:
Th 0.3345 0.3345 0.9966
Th 0.6655 0.6655 0.0034
Au 0.5635 0.9077 0.2783
Au 0.2505 0.5635 0.2783
Au 0.0923 0.7495 0.7217
Au 0.9077 0.2505 0.2783
Au 0.7495 0.4365 0.7217
Au 0.4365 0.0923 0.7217
Ga 0.9138 0.6135 0.2581
Ga 0.6135 0.2146 0.2581
Ga 0.7854 0.0862 0.7419
Ga 0.3865 0.7854 0.7419
Ga 0.0862 0.3865 0.7419
Ga 0.2146 0.9138 0.2581

DOS at the Fermi energy ... 4.00 states/eV per cell
Mass density ... 10.6 Mg/m³
E_form ... -2.39 eV/f.u.

---

No. 2
Density functional theory data (PBE) for a geometry-optimized ThGa2Au7 structure.

a = 4.7748 Å, b = 7.5192 Å, c = 7.5193 Å
α = 119.97°, β = 90.00°, γ = 90.00°
Sites, in units of the cell vectors:
Th 0.0000 0.0000 0.0000
Au 0.0000 0.7723 0.2277
Au 0.5000 0.0705 0.3031
Au 0.5000 0.9295 0.6969
Au 0.5000 0.5000 0.5000
Au 0.5000 0.6969 0.9295
Au 0.5000 0.3031 0.0705
Au 0.0000 0.2277 0.7723
Ga 0.5000 0.7019 0.2981
Ga 0.5000 0.2981 0.7019

DOS at the Fermi energy ... 2.94 states/eV per cell
Mass density ... 12.4 Mg/m³
E_form ... -1.85 eV/f.u.

---

No. 3
Density functional theory data (PBE) for a geometry-optimized Th2Ga5Au3 structure.

a = 6.2336 Å, b = 8.7084 Å, c = 8.7084 Å
α = 75.02°, β = 69.03°, γ = 69.03°
Sites, in units of the cell vectors:
Au 0.3659 0.5152 0.7530
Au 0.7500 0.0000 0.0000
Au 0.1341 0.2470 0.4848
Au 0.2500 0.0000 0.0000
Au 0.6341 0.4848 0.2470
Au 0.8659 0.7530 0.5152
Ga 0.0183 0.2317 0.2317
Ga 0.2500 0.5000 0.5000
Ga 0.9817 0.7683 0.7683
Ga 0.3823 0.2642 0.9712
Ga 0.6177 0.7358 0.0288
Ga 0.7500 0.5000 0.5000
Ga 0.4817 0.7683 0.7683
Ga 0.5183 0.2317 0.2317
Ga 0.8823 0.9712 0.2642
Ga 0.1177 0.0288 0.7358
Th 0.8729 0.3908 0.8635
Th 0.1271 0.6092 0.1365
Th 0.3729 0.8635 0.3908
Th 0.6271 0.1365 0.6092

DOS at the Fermi energy ... 5.81 states/eV per cell
Mass density ... 11.4 Mg/m³
E_form ... -5.77 eV/f.u.

---

No. 4
Density functional theory data (PBE) for a geometry-optimized ThTlGaAu structure.

a = 5.1262 Å, b = 5.1262 Å, c = 5.1262 Å
α = 60.00°, β = 60.00°, γ = 60.00°
Sites, in units of the cell vectors:
Ga 0.2500 0.2500 0.2500
Au 0.7500 0.7500 0.7500
Th 0.5000 0.5000 0.5000
Tl 0.0000 0.0000 0.0000

DOS at the Fermi energy ... 4.00 states/eV per cell
Mass density ... 12.3 Mg/m³
E_form ... -1.23 eV/f.u.